Entry from Alexandria: a relaxed structure of Tc3BrO12 (PBE).

SG   R3c
DFT total energy   -215.1 eV for the cell shown
M_tot   0.0 Bohr magnetons per cell

Lattice parameters (Å, degrees): 9.1397 9.1397 11.4640 66.51 66.51 60.00
With the nearest neighbours (Å) after each atom.
Atoms (fractional coordinates):
Br: 0.1215 0.1215 0.6354  3 O 1.95
Br: 0.6215 0.6215 0.1354  3 O 1.95
O: 0.3806 0.7881 0.1405  1 Tc 1.89, 1 Br 1.95
O: 0.3329 0.9471 0.8678  1 Tc 1.71
O: 0.2881 0.8806 0.6405  1 Tc 1.89, 1 Br 1.95
O: 0.7881 0.6909 0.1405  1 Tc 1.89, 1 Br 1.95
O: 0.9471 0.8523 0.8678  1 Tc 1.71
O: 0.6909 0.3806 0.1405  1 Tc 1.89, 1 Br 1.95
O: 0.9198 0.9969 0.4733  1 Tc 1.71
O: 0.7335 0.0851 0.0686  1 Tc 1.71
O: 0.1100 0.4969 0.9733  1 Tc 1.71
O: 0.4969 0.4198 0.9733  1 Tc 1.71
O: 0.8806 0.1909 0.6405  1 Tc 1.89, 1 Br 1.95
O: 0.8329 0.3523 0.3678  1 Tc 1.71
O: 0.1128 0.7335 0.0686  1 Tc 1.71
O: 0.5851 0.2335 0.5686  1 Tc 1.71
O: 0.6128 0.5851 0.5686  1 Tc 1.71
O: 0.9969 0.6100 0.4733  1 Tc 1.71
O: 0.8523 0.3329 0.8678  1 Tc 1.71
O: 0.6100 0.9198 0.4733  1 Tc 1.71
O: 0.4471 0.8329 0.3678  1 Tc 1.71
O: 0.3523 0.4471 0.3678  1 Tc 1.71
O: 0.0851 0.1128 0.0686  1 Tc 1.71
O: 0.4198 0.1100 0.9733  1 Tc 1.71
O: 0.1909 0.2881 0.6405  1 Tc 1.89, 1 Br 1.95
O: 0.2335 0.6128 0.5686  1 Tc 1.71
Tc: 0.1959 0.4932 0.5090  4 O 1.71-1.89
Tc: 0.3019 0.9932 0.0090  4 O 1.71-1.89
Tc: 0.4932 0.8019 0.5090  4 O 1.71-1.89
Tc: 0.6959 0.3019 0.0090  4 O 1.71-1.89
Tc: 0.9932 0.6959 0.0090  4 O 1.71-1.89
Tc: 0.8019 0.1959 0.5090  4 O 1.71-1.89

***

Entry from Alexandria: a relaxed structure of Tl2InPbO6 (PBE).

SG   R3
DFT total energy   -50.2 eV for the cell shown
M_tot   0.0 Bohr magnetons per cell

Lattice parameters (Å, degrees): 5.8280 5.8272 6.0929 61.47 61.45 59.99
With the nearest neighbours (Å) after each atom.
Atoms (fractional coordinates):
O: 0.1238 0.4171 0.7618  2 Tl 2.25-2.46, 1 In 2.27, 1 Pb 2.28
O: 0.4171 0.6974 0.7616  2 Tl 2.25-2.46, 1 In 2.28, 1 Pb 2.28
O: 0.9326 0.6069 0.2543  1 In 2.20, 2 Tl 2.26-2.45, 1 Pb 2.40
O: 0.6975 0.1237 0.7619  2 Tl 2.25-2.46, 1 In 2.27, 1 Pb 2.28
O: 0.6069 0.2063 0.2540  1 In 2.20, 2 Tl 2.26-2.44, 1 Pb 2.40
O: 0.2063 0.9327 0.2540  1 In 2.20, 2 Tl 2.26-2.44, 1 Pb 2.40
In: 0.3115 0.3116 0.0654  6 O 2.20-2.28
Pb: 0.8077 0.8076 0.5772  6 O 2.28-2.40
Tl: 0.5308 0.5309 0.4074  6 O 2.26-2.46
Tl: 0.0274 0.0274 0.9178  6 O 2.25-2.45

***

Entry from Alexandria: a relaxed structure of MnFeReAu2 (PBE).

SG   P4/mmm
Energy of formation from the pure elements   761 kJ/mol of formula units
M_tot   0.9 Bohr magnetons per cell

Lattice parameters (Å, degrees): 4.7484 3.9985 4.7484 90.00 90.00 90.00
With the nearest neighbours (Å) after each atom.
Atoms (fractional coordinates):
Re: 0.5000 0.5000 0.5000  8 Au 3.10, 4 Mn 3.36
Au: 0.5000 0.0000 0.0000  2 Fe 2.37
Au: 0.0000 0.0000 0.5000  2 Fe 2.37
Mn: 0.0000 0.5000 0.0000  2 Fe 2.00
Fe: 0.0000 0.0000 0.0000  2 Mn 2.00

***

Entry from Alexandria: a relaxed structure of Li3Sn3Rh2 (PBE).

SG   R3m
Energy of formation from the pure elements   -373 kJ/mol of formula units
M_tot   0.0 Bohr magnetons per cell

Lattice parameters (Å, degrees): 4.5442 4.5442 7.9255 73.34 73.34 60.00
With the nearest neighbours (Å) after each atom.
Atoms (fractional coordinates):
Li: 0.6239 0.6239 0.1283  4 Li 2.77-2.78, 4 Rh 2.84-2.87
Li: 0.7475 0.7475 0.7574  1 Li 2.77, 7 Sn 2.82-3.03
Li: 0.2501 0.2501 0.2496  5 Sn 2.65-2.77, 3 Li 2.78
Sn: 0.3680 0.3680 0.8959  4 Li 2.65-2.82, 4 Rh 2.71-2.87
Sn: 0.8825 0.8825 0.3526  4 Li 2.73-3.03, 4 Rh 2.76-2.88
Sn: 0.1265 0.1265 0.6204  4 Rh 2.72-2.75, 4 Li 2.77-2.82
Rh: 0.4961 0.4961 0.5118  7 Sn 2.75-2.88, 1 Li 2.87
Rh: 0.0053 0.0053 0.9840  5 Sn 2.71-2.76, 3 Li 2.84

***

Entry from Alexandria: a relaxed structure of Tb2YCd (PBE).

SG   Fm-3m
Energy of formation from the pure elements   -3 kJ/mol of formula units
M_tot   0.0 Bohr magnetons per cell

Lattice parameters (Å, degrees): 5.4653 5.4653 5.4653 60.00 60.00 60.00
With the nearest neighbours (Å) after each atom.
Atoms (fractional coordinates):
Y: 0.5000 0.5000 0.5000  8 Tb 3.35
Tb: 0.2500 0.2500 0.2500  4 Y 3.35, 4 Cd 3.35
Tb: 0.7500 0.7500 0.7500  4 Cd 3.35, 4 Y 3.35
Cd: 0.0000 0.0000 0.0000  8 Tb 3.35

***

Entry from Alexandria: a relaxed structure of SbPd2Au2 (PBE).

SG   I4/mmm
DFT total energy   -20.5 eV for the cell shown
M_tot   0.0 Bohr magnetons per cell

Lattice parameters (Å, degrees): 3.8303 3.8303 7.2713 74.73 74.73 90.00
With the nearest neighbours (Å) after each atom.
Atoms (fractional coordinates):
Pd: 0.7500 0.2500 0.5000  4 Pd 2.71, 4 Au 2.76
Pd: 0.2500 0.7500 0.5000  4 Pd 2.71, 4 Au 2.76
Sb: 0.0000 0.0000 0.0000  8 Au 3.04
Au: 0.3975 0.3975 0.2050  4 Pd 2.76, 1 Au 2.77, 4 Sb 3.04
Au: 0.6025 0.6025 0.7950  4 Pd 2.76, 1 Au 2.77, 4 Sb 3.04